VASP calculation (PBE-GGA) on crystalline In2TeAs at its relaxed geometry.

The structure in POSCAR format:
```
In2TeAs
1.0
4.012 0.000 0.000
0.000 4.012 0.000
0.000 0.000 7.012
In Te As
2 1 1
Cartesian
0.000 0.000 0.000 In
2.006 2.006 1.557 In
0.000 0.000 3.805 Te
2.006 2.006 4.571 As
```

Summary:
symmetry = No. 99
calculated total energy = -3.22 eV/atom
M_tot = 0.0 μB per formula unit
D(E_F) = 0.360 states/eV/atom


VASP calculation (PBE-GGA) on crystalline Be3ReC at its relaxed geometry.

The structure in POSCAR format:
```
Be3ReC
1.0
3.578 0.000 0.000
0.000 3.578 0.000
0.000 0.000 3.578
Be Re C
3 1 1
Cartesian
0.000 0.000 1.789 Be
0.000 1.789 0.000 Be
1.789 0.000 0.000 Be
1.789 1.789 1.789 Re
0.000 0.000 0.000 C
```

Summary:
symmetry = No. 221
calculated total energy = -5.87 eV/atom
M_tot = 0.0 μB per formula unit
D(E_F) = 0.730 states/eV/atom


VASP calculation (PBE-GGA) on crystalline PmThAlTc at its relaxed geometry.

The structure in POSCAR format:
```
PmThAlTc
1.0
7.252 0.000 0.000
0.000 7.252 0.000
0.000 0.000 7.252
Pm Th Al Tc
4 4 4 4
Cartesian
0.000 0.000 0.000 Pm
0.000 3.626 3.626 Pm
3.626 0.000 3.626 Pm
3.626 3.626 0.000 Pm
0.000 0.000 3.626 Th
0.000 3.626 0.000 Th
3.626 0.000 0.000 Th
3.626 3.626 3.626 Th
1.813 1.813 1.813 Al
1.813 5.439 5.439 Al
5.439 1.813 5.439 Al
5.439 5.439 1.813 Al
1.813 1.813 5.439 Tc
1.813 5.439 1.813 Tc
5.439 1.813 1.813 Tc
5.439 5.439 5.439 Tc
```

Summary:
symmetry = No. 216
calculated total energy = -6.63 eV/atom
M_tot = 0.0 μB per formula unit
D(E_F) = 0.699 states/eV/atom


VASP calculation (PBE-GGA) on crystalline Zr6Tc5Ru at its relaxed geometry.

The structure in POSCAR format:
```
Zr6Tc5Ru
1.0
-2.334 3.284 6.972
2.334 -3.284 6.972
2.334 3.284 -6.972
Zr Tc Ru
6 5 1
Cartesian
2.334 1.643 -2.322 Zr
0.000 1.644 0.000 Zr
2.334 1.643 2.322 Zr
0.000 1.641 4.651 Zr
0.000 4.925 0.000 Zr
0.000 1.641 9.294 Zr
0.000 0.000 2.321 Tc
2.334 0.000 4.652 Tc
0.000 0.000 6.972 Tc
0.000 3.284 2.321 Tc
0.000 0.000 11.624 Tc
2.334 0.000 0.000 Ru
```

Summary:
symmetry = No. 71
calculated total energy = -9.78 eV/atom
M_tot = 0.0 μB per formula unit
D(E_F) = 0.957 states/eV/atom


VASP calculation (PBE-GGA) on crystalline TaCrPt2 at its relaxed geometry.

The structure in POSCAR format:
```
TaCrPt2
1.0
2.765 0.000 0.000
0.000 4.001 0.000
0.000 0.000 5.501
Ta Cr Pt
1 1 2
Cartesian
0.000 0.000 0.000 Ta
0.000 0.000 2.751 Cr
1.382 2.001 1.421 Pt
1.382 2.001 4.081 Pt
```

Summary:
symmetry = No. 47
calculated total energy = -8.80 eV/atom
M_tot = 1.4 μB per formula unit
D(E_F) = 0.937 states/eV/atom


VASP calculation (PBE-GGA) on crystalline CdMoS2 at its relaxed geometry.

The structure in POSCAR format:
```
CdMoS2
1.0
3.169 0.000 0.000
-1.584 2.744 0.000
0.000 0.000 27.398
Cd Mo S
3 3 6
Cartesian
0.000 0.000 0.000 Cd
0.000 1.830 18.265 Cd
1.584 0.915 9.133 Cd
0.000 0.000 13.699 Mo
0.000 1.830 4.566 Mo
1.584 0.915 22.832 Mo
0.000 0.000 2.963 S
0.000 0.000 24.435 S
0.000 1.830 15.302 S
0.000 1.830 21.229 S
1.584 0.915 6.169 S
1.584 0.915 12.096 S
```

Summary:
symmetry = No. 166
calculated total energy = -5.45 eV/atom
M_tot = 0.0 μB per formula unit
D(E_F) = 0.649 states/eV/atom


VASP calculation (PBE-GGA) on crystalline NdPaTiO6 at its relaxed geometry.

The structure in POSCAR format:
```
NdPaTiO6
1.0
5.524 0.000 0.000
-2.762 4.784 0.000
0.000 0.000 4.784
Nd Pa Ti O
1 1 1 6
Cartesian
0.000 0.000 0.000 Nd
2.762 1.595 2.392 Pa
0.000 3.189 0.000 Ti
-0.955 1.826 1.129 O
-1.658 3.044 3.655 O
0.955 1.826 3.655 O
-0.703 4.698 1.129 O
1.658 3.044 1.129 O
0.703 4.698 3.655 O
```

Summary:
symmetry = No. 149
calculated total energy = -9.00 eV/atom
M_tot = 0.0 μB per formula unit
D(E_F) = 0.000 states/eV/atom


VASP calculation (PBE-GGA) on crystalline InHgRh2 at its relaxed geometry.

The structure in POSCAR format:
```
InHgRh2
1.0
3.036 0.000 0.000
0.000 4.102 0.000
0.000 0.000 5.676
In Hg Rh
1 1 2
Cartesian
0.000 0.000 0.000 In
1.518 2.051 3.862 Hg
0.000 0.000 2.724 Rh
1.518 2.051 1.093 Rh
```

Summary:
symmetry = No. 25
calculated total energy = -4.38 eV/atom
M_tot = 0.0 μB per formula unit
D(E_F) = 0.908 states/eV/atom